This record from the Alexandria database describes a relaxed PrSmRe crystal. The functional is GGA-PBE.

The value obtained for the final energy is -19.63 eV/f.u.

It has space group Fmmm (No. 69), with a = 5.310 Å, b = 6.952 Å, c = 19.576 Å, α = 90.00°, β = 90.00° and γ = 90.00°. Symmetry generates all atoms from Pr at (0.250, 0.250, 0.250), Sm at (0.000, 0.000, 0.092) and Re at (0.000, 0.172, 0.500).


This record from the Alexandria database describes a relaxed PrTh2Re crystal. The functional is GGA-PBE.

The value obtained for the final energy is -31.52 eV/f.u.

It has space group P4/mmm (No. 123), with a = 3.559 Å, b = 3.559 Å, c = 9.039 Å, α = 90.00°, β = 90.00° and γ = 90.00°. Symmetry generates all atoms from Pr at (0.000, 0.000, 0.000), Th at (0.500, 0.500, 0.304) and Re at (0.000, 0.000, 0.500).


This record from the Alexandria database describes a relaxed PrTh2Re crystal. The functional is GGA-PBE.

The value obtained for the final energy is -30.33 eV/f.u.

It has space group R-3m (No. 166, hexagonal axes), with a = 3.9637 Å, b = 3.9637 Å, c = 31.0577 Å, α = 90.00°, β = 90.00° and γ = 120.00°. Symmetry generates all atoms from Pr at (0.0000, 0.0000, 0.0000), Th at (0.0000, 0.0000, 0.1145) and Re at (0.0000, 0.0000, 0.5000).